A plane-wave DFT calculation with GGA-PBE was carried out for a geometry-optimized Dy2SnPd8 structure.

Cell lengths 8.1259, 8.1259, 5.9889 Å; angles 111.56, 111.56, 33.58 degrees
With the nearest neighbours (Å) after each atom.
Fractional coordinates of all 11 atoms:
Dy (0.1882, 0.1882, 0.1884)  12 Pd 2.82-3.08
Dy (0.8118, 0.8118, 0.8116)  12 Pd 2.82-3.08
Sn (0.5000, 0.5000, 0.5000)  8 Pd 2.57-2.80
Pd (0.0001, 0.0001, 0.2456)  2 Sn 2.80, 8 Pd 2.94-3.11, 2 Dy 3.08
Pd (0.9999, 0.9999, 0.7544)  2 Sn 2.80, 8 Pd 2.94-3.11, 2 Dy 3.08
Pd (0.1800, 0.1800, 0.6803)  8 Pd 2.88-3.00, 4 Dy 3.00-3.02
Pd (0.3584, 0.3584, 0.6213)  1 Sn 2.57, 2 Dy 2.82, 1 Pd 2.84
Pd (0.3586, 0.3586, 0.0956)  1 Sn 2.57, 2 Dy 2.82, 3 Pd 2.84-2.88
Pd (0.6414, 0.6414, 0.9044)  1 Sn 2.57, 2 Dy 2.82, 3 Pd 2.84-2.88
Pd (0.6416, 0.6416, 0.3787)  1 Sn 2.57, 2 Dy 2.82, 1 Pd 2.84
Pd (0.8200, 0.8200, 0.3197)  8 Pd 2.88-3.00, 4 Dy 3.00-3.02

Formation enthalpy at 0 K = -0.6551 eV/atom
Density of states at the Fermi level = 0.35 states/eV per atom

***

A plane-wave DFT calculation with GGA-PBE was carried out for a geometry-optimized DySnPd4 structure.

Cell lengths 9.6627, 3.6316, 6.6047 Å; angles 90.00, 110.75, 90.00 degrees
With the nearest neighbours (Å) after each atom.
Fractional coordinates of all 12 atoms:
Dy (0.0000, 0.0000, 0.0000)  10 Pd 2.89-2.98
Dy (0.5000, 0.5000, 0.0000)  10 Pd 2.89-2.98
Sn (0.0000, 0.0000, 0.5000)  10 Pd 2.80-3.09
Sn (0.5000, 0.5000, 0.5000)  10 Pd 2.80-3.09
Pd (0.1584, 0.5000, 0.3436)  3 Sn 2.80-3.09, 6 Pd 2.85-3.12, 2 Dy 2.89
Pd (0.1704, 0.5000, 0.8214)  2 Sn 2.84, 6 Pd 2.91-3.12, 3 Dy 2.96-2.98
Pd (0.3296, 0.0000, 0.1786)  2 Sn 2.84, 6 Pd 2.91-3.12, 3 Dy 2.96-2.98
Pd (0.3416, 0.0000, 0.6564)  3 Sn 2.80-3.09, 6 Pd 2.85-3.12, 2 Dy 2.89
Pd (0.6584, 0.0000, 0.3436)  3 Sn 2.80-3.09, 6 Pd 2.85-3.12, 2 Dy 2.89
Pd (0.6704, 0.0000, 0.8214)  2 Sn 2.84, 6 Pd 2.91-3.12, 3 Dy 2.96-2.98
Pd (0.8296, 0.5000, 0.1786)  2 Sn 2.84, 6 Pd 2.91-3.12, 3 Dy 2.96-2.98
Pd (0.8416, 0.5000, 0.6564)  3 Sn 2.80-3.09, 6 Pd 2.85-3.12, 2 Dy 2.89

Formation enthalpy at 0 K = -0.6790 eV/atom
ΔE to the lowest computed polymorph = 5 meV/atom
Density of states at the Fermi level = 0.42 states/eV per atom

***

A plane-wave DFT calculation with GGA-PBE was carried out for a geometry-optimized Dy2SnPd structure.

Cell lengths 6.1103, 4.3977, 8.0897 Å; angles 90.00, 111.24, 90.00 degrees
With the nearest neighbours (Å) after each atom.
Fractional coordinates of all 8 atoms:
Dy (0.2063, 0.2500, 0.4442)  3 Pd 2.95-3.12, 3 Sn 3.16-3.23
Dy (0.2286, 0.2500, 0.9062)  3 Pd 2.96-3.28, 4 Sn 3.15-3.20
Dy (0.7714, 0.7500, 0.0938)  3 Pd 2.96-3.28, 4 Sn 3.15-3.20
Dy (0.7937, 0.7500, 0.5558)  3 Pd 2.95-3.12, 3 Sn 3.16-3.23
Sn (0.3213, 0.7500, 0.2065)  2 Pd 2.92, 7 Dy 3.15-3.23
Sn (0.6787, 0.2500, 0.7935)  2 Pd 2.92, 7 Dy 3.15-3.23
Pd (0.3424, 0.7500, 0.7054)  2 Sn 2.92, 5 Dy 2.95-3.12
Pd (0.6576, 0.2500, 0.2946)  2 Sn 2.92, 5 Dy 2.95-3.12

Formation enthalpy at 0 K = -0.8165 eV/atom
Density of states at the Fermi level = 0.34 states/eV per atom